1.
Below is an optimized crystal structure of KH2F2, with properties calculated at the PBE level.

Lattice parameters (Å, degrees): 5.7890 4.3853 4.3853 120.00 90.00 90.00
Fractional positions:
K: 0.0000 0.0000 0.0000
H: 0.6366 0.6667 0.3333
H: 0.3634 0.3333 0.6667
F: 0.8080 0.6667 0.3333
F: 0.1920 0.3333 0.6667

Calculated values
**DFT total energy**: -3.606 eV per atom



2.
Below is an optimized crystal structure of KH2F, with properties calculated at the PBE level.

Lattice parameters (Å, degrees): 4.3151 4.3142 16.0498 90.00 90.00 120.01
Fractional positions:
K: 0.6664 0.3328 0.2500
K: 0.3336 0.6672 0.7500
H: 0.6667 0.3335 0.5932
H: 0.3333 0.6665 0.0932
H: 0.3333 0.6665 0.4068
H: 0.6667 0.3335 0.9068
F: 0.9997 0.9994 0.2500
F: 0.0003 0.0006 0.7500

Calculated values
**Relative energy among the computed polymorphs**: 337 meV/atom
**DFT total energy**: -2.563 eV per atom



3.
Below is an optimized crystal structure of K2HF, with properties calculated at the PBE level.

Lattice parameters (Å, degrees): 6.0793 6.0793 7.3988 65.74 65.74 90.00
Fractional positions:
H: 0.5000 0.5000 0.0000
H: 0.2500 0.7500 0.5000
K: 0.6383 0.1250 0.2500
K: 0.1117 0.6250 0.2500
K: 0.3750 0.3617 0.7500
K: 0.8750 0.8883 0.7500
F: 0.0000 0.0000 0.0000
F: 0.7500 0.2500 0.5000

Calculated values
**Relative energy among the computed polymorphs**: 67 meV/atom
**DFT total energy**: -3.257 eV per atom



Density
In order: 1.36, 0.77, 1.47
Unit: Mg/m³
Fermi-level density of states
In order: 0.216, 0.000, 0.000
Unit: states/eV per atom